Record 1
# TlWCl2 meta-GGA SCAN PBEsol geometry
# * energy above the lowest structure with this stoichiometry: 0.2320 eV/atom
# * formation energy from raw total energies: 42.5 kJ/mol of atoms
data_TlWCl2
_symmetry_space_group_name_H-M 'P 4/m m m'
_symmetry_Int_Tables_number 123
_symmetry_space_group_name_Hall '-P 4 2'
_cell_length_a 3.007
_cell_length_b 3.007
_cell_length_c 9.693
_cell_angle_alpha 90.00
_cell_angle_beta 90.00
_cell_angle_gamma 90.00
loop_
_atom_site_label
_atom_site_fract_x
_atom_site_fract_y
_atom_site_fract_z
Tl1 0.000 0.000 0.000
W1 0.000 0.000 0.500
Cl1 0.500 0.500 0.350


Record 2
# KCr2Mo meta-GGA SCAN PBEsol geometry
# * energy above the lowest structure with this stoichiometry: 0.0825 eV/atom
# * DFT formation energy: 0.981 eV per atom
data_KCr2Mo
_symmetry_space_group_name_H-M 'R -3 m'
_symmetry_Int_Tables_number 166
_symmetry_space_group_name_Hall '-R 3 2"'
_cell_length_a 2.9361
_cell_length_b 2.9361
_cell_length_c 28.4975
_cell_angle_alpha 90.00
_cell_angle_beta 90.00
_cell_angle_gamma 120.00
loop_
_atom_site_label
_atom_site_fract_x
_atom_site_fract_y
_atom_site_fract_z
K1 0.0000 0.0000 0.0000
Cr1 0.0000 0.0000 0.2289
Mo1 0.0000 0.0000 0.5000


Record 3
# ZnSe2Br meta-GGA SCAN PBEsol geometry
# * energy above the lowest structure with this stoichiometry: 0.1497 eV/atom
# * formation energy from raw total energies: 14.0 kJ/mol of atoms
data_ZnSe2Br
_symmetry_space_group_name_H-M 'R -3 m'
_symmetry_Int_Tables_number 166
_symmetry_space_group_name_Hall '-R 3 2"'
_cell_length_a 3.1294
_cell_length_b 3.1294
_cell_length_c 31.4303
_cell_angle_alpha 90.00
_cell_angle_beta 90.00
_cell_angle_gamma 120.00
loop_
_atom_site_label
_atom_site_fract_x
_atom_site_fract_y
_atom_site_fract_z
Zn1 0.0000 0.0000 0.0000
Se1 0.0000 0.0000 0.2748
Br1 0.0000 0.0000 0.5000


Record 4
# ZnCu2Br meta-GGA SCAN PBEsol geometry
# * energy above the lowest structure with this stoichiometry: 0.3037 eV/atom
# * formation energy from raw total energies: 34.5 kJ/mol of atoms
data_ZnCu2Br
_symmetry_space_group_name_H-M 'I m m m'
_symmetry_Int_Tables_number 71
_symmetry_space_group_name_Hall '-I 2 2'
_cell_length_a 3.008
_cell_length_b 5.464
_cell_length_c 8.058
_cell_angle_alpha 90.00
_cell_angle_beta 90.00
_cell_angle_gamma 90.00
loop_
_atom_site_label
_atom_site_fract_x
_atom_site_fract_y
_atom_site_fract_z
Zn1 0.000 0.000 0.000
Cu1 0.000 0.500 0.257
Br1 0.000 0.000 0.500


Listing E for the structures above in their given order: -39.06; -19.01; -18.14; -15.49 eV per atom.